No. 1
Below is an optimized crystal structure of Dy2ErTl2, with properties calculated at the PBE level.

abc: 5.416 6.487 8.507
angles: 90.00 108.56 90.00
Positions (direct):
Dy 0.971 0.789 0.942
Dy 0.804 0.341 0.608
Dy 0.196 0.841 0.392
Dy 0.029 0.289 0.058
Er 0.401 0.084 0.802
Er 0.599 0.584 0.198
Tl 0.405 0.567 0.810
Tl 0.783 0.854 0.566
Tl 0.217 0.354 0.434
Tl 0.595 0.067 0.190

M_tot, μB per cell: 0.00
Energy above the most stable polymorph in this dataset, meV/atom: 46.6
E_form, eV per atom: -0.23
Calculated total energy, hartree per atom: -0.14426

No. 2
Below is an optimized crystal structure of Sm2ZnB2Ir5, with properties calculated at the PBE level.

abc: 3.158 9.757 9.757
angles: 90.00 90.00 90.00
Positions (direct):
Sm 0.000 0.678 0.178
Sm 0.000 0.322 0.822
Sm 0.000 0.178 0.322
Sm 0.000 0.822 0.678
Zn 0.000 0.000 0.000
Zn 0.000 0.500 0.500
B 0.000 0.121 0.621
B 0.000 0.879 0.379
B 0.000 0.621 0.879
B 0.000 0.379 0.121
Ir 0.500 0.222 0.067
Ir 0.500 0.778 0.933
Ir 0.500 0.067 0.778
Ir 0.500 0.722 0.433
Ir 0.500 0.933 0.222
Ir 0.500 0.278 0.567
Ir 0.500 0.567 0.722
Ir 0.500 0.433 0.278
Ir 0.500 0.500 0.000
Ir 0.500 0.000 0.500

M_tot, μB per cell: 0.00
E_form, eV per atom: -0.56
Calculated total energy, hartree per atom: -0.27182

No. 3
Below is an optimized crystal structure of Tb3Nd6Sm2Er, with properties calculated at the PBE level.

abc: 6.296 6.296 11.959
angles: 95.03 95.03 120.00
Positions (direct):
Tb 0.167 0.833 0.500
Tb 0.833 0.167 0.500
Tb 0.500 0.500 0.500
Nd 0.916 0.584 0.749
Nd 0.751 0.751 0.251
Nd 0.084 0.416 0.251
Nd 0.584 0.916 0.749
Nd 0.249 0.249 0.749
Nd 0.416 0.084 0.251
Sm 0.333 0.667 0.000
Sm 0.667 0.333 0.000
Er 0.000 0.000 0.000

M_tot, μB per cell: 0.00
E_form, eV per atom: 0.01
Calculated total energy, hartree per atom: -0.17259

No. 4
Below is an optimized crystal structure of HoPu2Te2Se2, with properties calculated at the PBE level.

abc: 5.297 5.297 8.757
angles: 107.60 107.60 90.00
Site moments in Bohr magnetons follow the coordinates.
Positions (direct):
Ho 0.000 0.000 0.000  0.03
Pu 0.381 0.381 0.763  5.52
Pu 0.619 0.619 0.237  5.52
Te 0.188 0.188 0.376  -0.12
Te 0.812 0.812 0.624  -0.12
Se 0.000 0.500 0.000  -0.05
Se 0.500 0.000 0.000  -0.05

M_tot, μB per cell: 11.00
Formation energy from raw total energies, eV per atom: -1.127
Calculated total energy, hartree per atom: -0.28550

No. 5
Below is an optimized crystal structure of NaCa2Sn4, with properties calculated at the PBE level.

abc: 5.369 5.369 8.836
angles: 107.69 107.69 90.00
Positions (direct):
Na 0.000 0.000 0.000
Ca 0.625 0.625 0.249
Ca 0.375 0.375 0.751
Sn 0.822 0.822 0.645
Sn 0.178 0.178 0.355
Sn 0.000 0.500 0.000
Sn 0.500 0.000 0.000

M_tot, μB per cell: 0.00
E_form, eV per atom: 0.09
Calculated total energy, hartree per atom: -0.10884

No. 6
Below is an optimized crystal structure of Ba3Zn3Au, with properties calculated at the PBE level.

abc: 4.655 6.482 16.272
angles: 84.52 81.78 68.96
Positions (direct):
Ba 0.525 0.342 0.608
Ba 0.475 0.658 0.392
Ba 0.255 0.254 0.237
Ba 0.745 0.746 0.763
Ba 0.393 0.293 0.922
Ba 0.607 0.707 0.078
Zn 0.827 0.806 0.540
Zn 0.173 0.194 0.460
Zn 0.093 0.892 0.921
Zn 0.907 0.108 0.079
Zn 0.956 0.852 0.236
Zn 0.044 0.148 0.764
Au 0.769 0.075 0.388
Au 0.231 0.925 0.612

M_tot, μB per cell: 0.00
E_form, eV per atom: -0.31
Calculated total energy, hartree per atom: -0.07892

No. 7
Below is an optimized crystal structure of Cr3Cu5H12, with properties calculated at the PBE level.

abc: 9.052 9.052 9.052
angles: 109.47 109.47 109.47
Site moments in Bohr magnetons follow the coordinates.
Positions (direct):
Cr 0.750 0.375 0.125  2.59
Cr 0.875 0.750 0.125  2.59
Cr 0.375 0.750 0.625  2.59
Cr 0.250 0.125 0.375  2.59
Cr 0.875 0.125 0.250  2.59
Cr 0.375 0.625 0.250  2.59
Cr 0.625 0.375 0.750  2.59
Cr 0.125 0.875 0.750  2.59
Cr 0.750 0.875 0.625  2.59
Cr 0.625 0.250 0.375  2.59
Cr 0.125 0.250 0.875  2.59
Cr 0.250 0.625 0.875  2.59
Cu 0.125 0.375 0.250  0.01
Cu 0.000 0.500 0.000  -0.02
Cu 0.000 0.000 0.000  -0.02
Cu 0.375 0.250 0.125  0.01
Cu 0.500 0.000 0.500  -0.02
Cu 0.500 0.500 0.000  -0.02
Cu 0.125 0.750 0.375  0.01
Cu 0.750 0.125 0.875  0.01
Cu 0.750 0.625 0.375  0.01
Cu 0.375 0.125 0.750  0.01
Cu 0.625 0.875 0.250  0.01
Cu 0.500 0.500 0.500  -0.02
Cu 0.500 0.000 0.000  -0.02
Cu 0.000 0.000 0.500  -0.02
Cu 0.250 0.375 0.625  0.01
Cu 0.250 0.875 0.125  0.01
Cu 0.000 0.500 0.500  -0.02
Cu 0.875 0.250 0.625  0.01
Cu 0.625 0.750 0.875  0.01
Cu 0.875 0.625 0.750  0.01
H 0.726 0.144 0.056  -0.02
H 0.330 0.556 0.412  -0.02
H 0.944 0.356 0.274  -0.02
H 0.556 0.226 0.144  -0.02
H 0.582 0.726 0.670  -0.02
H 0.944 0.588 0.170  -0.02
H 0.330 0.774 0.418  -0.02
H 0.088 0.918 0.144  -0.02
H 0.588 0.944 0.670  -0.02
H 0.726 0.582 0.170  -0.02
H 0.774 0.444 0.356  -0.02
H 0.830 0.912 0.056  -0.02
H 0.144 0.726 0.556  -0.02
H 0.356 0.412 0.082  -0.02
H 0.082 0.912 0.356  -0.02
H 0.418 0.144 0.588  -0.02
H 0.082 0.170 0.226  -0.02
H 0.444 0.670 0.088  -0.02
H 0.830 0.918 0.274  -0.02
H 0.144 0.418 0.088  -0.02
H 0.356 0.944 0.774  -0.02
H 0.588 0.644 0.418  -0.02
H 0.912 0.830 0.556  -0.02
H 0.774 0.330 0.918  -0.02
H 0.412 0.356 0.582  -0.02
H 0.088 0.170 0.444  -0.02
H 0.226 0.670 0.082  -0.02
H 0.170 0.082 0.726  -0.02
H 0.644 0.056 0.226  -0.02
H 0.856 0.582 0.912  -0.02
H 0.556 0.330 0.912  -0.02
H 0.582 0.856 0.412  -0.02
H 0.918 0.830 0.774  -0.02
H 0.918 0.088 0.644  -0.02
H 0.856 0.274 0.444  -0.02
H 0.170 0.088 0.944  -0.02
H 0.644 0.588 0.918  -0.02
H 0.412 0.056 0.330  -0.02
H 0.274 0.418 0.830  -0.02
H 0.226 0.556 0.644  -0.02
H 0.912 0.082 0.856  -0.02
H 0.670 0.226 0.582  -0.02
H 0.444 0.774 0.856  -0.02
H 0.056 0.412 0.830  -0.02
H 0.418 0.274 0.330  -0.02
H 0.056 0.644 0.726  -0.02
H 0.670 0.444 0.588  -0.02
H 0.274 0.856 0.944  -0.02

M_tot, μB per cell: 31.25
Calculated total energy, hartree per atom: -0.15827

No. 8
Below is an optimized crystal structure of Li2Nd2TmGe2, with properties calculated at the PBE level.

abc: 4.419 4.419 9.990
angles: 77.22 77.22 60.00
Positions (direct):
Li 0.614 0.614 0.159
Li 0.386 0.386 0.841
Nd 0.122 0.122 0.634
Nd 0.878 0.878 0.366
Tm 0.000 0.000 0.000
Ge 0.726 0.726 0.821
Ge 0.274 0.274 0.179

M_tot, μB per cell: 0.00
E_form, eV per atom: -0.48
Calculated total energy, hartree per atom: -0.15984

No. 9
Below is an optimized crystal structure of Pm2Er7Tm, with properties calculated at the PBE level.

abc: 6.114 10.581 7.900
angles: 107.36 75.02 140.25
Positions (direct):
Pm 0.598 0.799 0.398
Pm 0.402 0.201 0.602
Er 0.900 0.700 0.601
Er 0.100 0.300 0.399
Er 0.202 0.601 0.802
Er 0.798 0.399 0.198
Er 0.299 0.899 0.198
Er 0.701 0.101 0.802
Er 0.500 0.500 0.000
Tm 0.000 0.000 0.000

M_tot, μB per cell: 0.00
Energy above the most stable polymorph in this dataset, meV/atom: 0.0
E_form, eV per atom: 0.02
Calculated total energy, hartree per atom: -0.16791

No. 10
Below is an optimized crystal structure of AlSbRu4, with properties calculated at the PBE level.

abc: 5.179 5.179 5.179
angles: 60.00 60.00 60.00
Positions (direct):
Al 0.000 0.000 0.000
Sb 0.750 0.750 0.750
Ru 0.875 0.375 0.375
Ru 0.375 0.375 0.875
Ru 0.375 0.875 0.375
Ru 0.375 0.375 0.375

M_tot, μB per cell: 0.00
Formation energy from raw total energies, eV per atom: 0.383
Calculated total energy, hartree per atom: -0.26134

No. 11
Below is an optimized crystal structure of Er2ZnIn2, with properties calculated at the PBE level.

abc: 4.610 5.967 9.953
angles: 89.05 76.61 67.28
Positions (direct):
Er 0.683 0.300 0.334
Er 0.920 0.258 0.903
Er 0.317 0.700 0.666
Er 0.080 0.742 0.097
Zn 0.609 0.113 0.669
Zn 0.391 0.887 0.331
In 0.080 0.272 0.567
In 0.651 0.819 0.880
In 0.920 0.728 0.433
In 0.349 0.181 0.120

M_tot, μB per cell: 0.00
Energy above the most stable polymorph in this dataset, meV/atom: 6.9
E_form, eV per atom: -0.40
Calculated total energy, hartree per atom: -0.13124

No. 12
Below is an optimized crystal structure of Al2GeP, with properties calculated at the PBE level.

abc: 4.531 4.531 4.531
angles: 60.00 60.00 60.00
Positions (direct):
P 0.000 0.000 0.000
Ge 0.500 0.500 0.500
Al 0.250 0.250 0.250
Al 0.750 0.750 0.750

M_tot, μB per cell: 0.00
Energy above the most stable polymorph in this dataset, meV/atom: 309.9
E_form, eV per atom: 0.20
Calculated total energy, hartree per atom: -0.15347

No. 13
Below is an optimized crystal structure of LiTb2Ce3Se6, with properties calculated at the PBE level.

abc: 7.139 7.139 7.205
angles: 99.53 99.53 120.03
Site moments in Bohr magnetons follow the coordinates.
Positions (direct):
Li 0.000 0.000 0.000  0.00
Tb 0.334 0.666 0.000  0.02
Tb 0.666 0.334 0.000  0.02
Ce 0.168 0.832 0.500  0.93
Ce 0.832 0.168 0.500  0.93
Ce 0.500 0.500 0.500  0.93
Se 0.922 0.597 0.766  -0.01
Se 0.753 0.753 0.236  -0.01
Se 0.078 0.403 0.234  -0.01
Se 0.597 0.922 0.766  -0.01
Se 0.247 0.247 0.764  -0.01
Se 0.403 0.078 0.234  -0.01

M_tot, μB per cell: 3.42
Formation energy from raw total energies, eV per atom: -1.755
Calculated total energy, hartree per atom: -0.21725

No. 14
Below is an optimized crystal structure of Zr2TlGaW, with properties calculated at the PBE level.

abc: 4.980 4.769 4.980
angles: 90.00 90.00 90.00
Positions (direct):
Tl 0.000 0.500 0.000
Ga 0.000 0.000 0.000
Zr 0.000 0.000 0.500
Zr 0.500 0.000 0.000
W 0.500 0.500 0.500

M_tot, μB per cell: 0.00
E_form, eV per atom: 1.23
Calculated total energy, hartree per atom: -0.21516

No. 15
Below is an optimized crystal structure of Sr2HgSbAs, with properties calculated at the PBE level.

abc: 4.589 8.138 9.496
angles: 107.19 90.00 90.00
Positions (direct):
Sr 0.750 0.822 0.600
Sr 0.750 0.783 0.031
Sr 0.250 0.178 0.400
Sr 0.250 0.217 0.969
Hg 0.250 0.498 0.738
Hg 0.750 0.502 0.262
Sb 0.250 0.723 0.300
Sb 0.750 0.277 0.700
As 0.250 0.831 0.821
As 0.750 0.169 0.179

M_tot, μB per cell: 0.00
Formation energy from raw total energies, eV per atom: -0.811
Calculated total energy, hartree per atom: -0.12122

No. 16
Below is an optimized crystal structure of AcPmHg2, with properties calculated at the PBE level.

abc: 4.054 4.054 9.638
angles: 77.86 77.86 60.00
Positions (direct):
Ac 0.667 0.667 0.000
Pm 0.500 0.500 0.500
Hg 0.088 0.088 0.735
Hg 0.245 0.245 0.265

M_tot, μB per cell: 0.00
Energy above the most stable polymorph in this dataset, meV/atom: 140.8
E_form, eV per atom: -0.32
Calculated total energy, hartree per atom: -0.09882

No. 17
Below is an optimized crystal structure of SrSe2I, with properties calculated at the PBE level.

abc: 5.923 5.923 9.765
angles: 72.35 72.35 90.00
Positions (direct):
I 0.000 0.000 0.000
I 0.750 0.250 0.500
Sr 0.500 0.500 0.000
Sr 0.250 0.750 0.500
Se 0.650 0.125 0.250
Se 0.100 0.625 0.250
Se 0.375 0.350 0.750
Se 0.875 0.900 0.750

M_tot, μB per cell: 0.00
Energy above the most stable polymorph in this dataset, meV/atom: 270.8
Formation energy from raw total energies, eV per atom: -0.506
Calculated total energy, hartree per atom: -0.11231

No. 18
Below is an optimized crystal structure of LiGaSn4, with properties calculated at the PBE level.

abc: 6.186 6.186 6.186
angles: 60.00 60.00 60.00
Positions (direct):
Sn 0.625 0.625 0.124
Sn 0.625 0.124 0.625
Sn 0.625 0.625 0.625
Sn 0.124 0.625 0.625
Ga 0.000 0.000 0.000
Li 0.250 0.250 0.250

M_tot, μB per cell: 0.00
Energy above the most stable polymorph in this dataset, meV/atom: 150.1
E_form, eV per atom: 0.12
Calculated total energy, hartree per atom: -0.12401

No. 19
Below is an optimized crystal structure of HfZr3Co, with properties calculated at the PBE level.

abc: 5.454 6.482 6.148
angles: 90.00 90.00 104.75
Positions (direct):
Hf 0.471 0.594 0.750
Hf 0.529 0.406 0.250
Zr 0.016 0.738 0.497
Zr 0.984 0.262 0.503
Zr 0.016 0.738 0.003
Zr 0.984 0.262 0.997
Zr 0.409 0.101 0.750
Zr 0.591 0.899 0.250
Co 0.791 0.947 0.750
Co 0.209 0.053 0.250

M_tot, μB per cell: 0.00
Energy above the most stable polymorph in this dataset, meV/atom: 0.0
E_form, eV per atom: -0.05
Calculated total energy, hartree per atom: -0.31565

No. 20
Below is an optimized crystal structure of MnFe4, with properties calculated at the PBE level.

abc: 10.287 10.188 2.445
angles: 85.44 80.86 13.70
Site moments in Bohr magnetons follow the coordinates.
Positions (direct):
Mn 0.000 0.000 0.000  0.84
Fe 0.401 0.401 0.599  2.24
Fe 0.801 0.801 0.199  2.39
Fe 0.199 0.199 0.801  2.39
Fe 0.599 0.599 0.401  2.24

M_tot, μB per cell: 10.01
Energy above the most stable polymorph in this dataset, meV/atom: 0.0
E_form, eV per atom: 0.03
Calculated total energy, hartree per atom: -0.31499